1.
DFT (PBE) results for Be2InH6 after structural relaxation.

a = 4.561 Å, b = 4.561 Å, c = 4.561 Å
α = 60.00°, β = 60.00°, γ = 60.00°
Positions (direct):
1 Be 0.250 0.250 0.250
2 Be 0.750 0.750 0.750
3 In 0.000 0.000 0.000
4 H 0.303 0.303 0.697
5 H 0.303 0.697 0.303
6 H 0.303 0.697 0.697
7 H 0.697 0.303 0.303
8 H 0.697 0.303 0.697
9 H 0.697 0.697 0.303

- E (eV per atom) = -2.36
- symmetry = Fm-3m, No. 225

---

2.
DFT (PBE) results for BeInH after structural relaxation.

a = 3.063 Å, b = 4.863 Å, c = 5.460 Å
α = 91.53°, β = 101.03°, γ = 90.01°
Positions (direct):
1 Be 0.027 0.225 0.127
2 Be 0.973 0.775 0.873
3 In 0.053 0.742 0.348
4 In 0.947 0.258 0.652
5 H 0.473 0.743 0.870
6 H 0.527 0.257 0.130

- E (eV per atom) = -2.90
- symmetry = P-1, No. 2

---

3.
DFT (PBE) results for Be3InH after structural relaxation.

a = 3.761 Å, b = 3.761 Å, c = 3.761 Å
α = 90.00°, β = 90.00°, γ = 90.00°
Positions (direct):
1 Be 0.000 0.000 0.500
2 Be 0.000 0.500 0.000
3 Be 0.500 0.000 0.000
4 In 0.500 0.500 0.500
5 H 0.000 0.000 0.000

- polymorph energy (0 for the lowest one) (meV per atom) = 0
- symmetry = Pm-3m, No. 221

---

4.
DFT (PBE) results for KBeInH6 after structural relaxation.

a = 4.727 Å, b = 4.727 Å, c = 5.770 Å
α = 90.00°, β = 90.00°, γ = 120.00°
Positions (direct):
1 K 0.000 0.000 0.000
2 Be 0.333 0.667 0.500
3 In 0.667 0.333 0.500
4 H 0.046 0.388 0.328
5 H 0.046 0.658 0.672
6 H 0.342 0.388 0.672
7 H 0.342 0.954 0.328
8 H 0.612 0.658 0.328
9 H 0.612 0.954 0.672

- E (eV per atom) = -2.97
- symmetry = P312, No. 149

---

no.,spin magnetization (μB/f.u.),mass density (g/cm³),D(E_F) (states/eV/f.u.)
1,0.0,3.4,1.7
2,0.0,5.2,0.4
3,0.0,4.5,1.9
4,0.0,2.5,0.0